(1)
! CsTe2WI | the Alexandria database | PBE | optimized geometry; values from VASP
&SYSTEM
  ibrav = 0, nat = 5, ntyp = 4
/
ATOMIC_SPECIES
Te 127.60 Te.upf
Cs 132.91 Cs.upf
W 183.84 W.upf
I 126.90 I.upf
ATOMIC_POSITIONS crystal
Te 0.0000 0.5000 0.0000
Te 0.5000 0.0000 0.0000
Cs 0.5000 0.5000 0.5000
W 0.0000 0.0000 0.0000
I 0.0000 0.0000 0.5000
CELL_PARAMETERS angstrom
-2.4447 4.5659 -1.3586
-3.5313 -2.7619 -2.9277
-3.6729 -0.5062 4.9077
! Formation energy (no corrections) ... -0.055 eV per atom
! ΔE to the lowest computed polymorph ... 0.000 eV/atom
! Total magnetization ... 0.6 μB per cell
! DFT total energy ... -4.383 eV/atom
! N(E_F) ... 5.44 states/eV/f.u.

(2)
! CsTe2WI | the Alexandria database | PBE | optimized geometry; values from VASP
&SYSTEM
  ibrav = 0, nat = 5, ntyp = 4
/
ATOMIC_SPECIES
Te 127.60 Te.upf
W 183.84 W.upf
I 126.90 I.upf
Cs 132.91 Cs.upf
ATOMIC_POSITIONS crystal
Te 0.5000 0.0000 0.0000
Te 0.0000 0.5000 0.0000
W 0.5000 0.5000 0.5000
I 0.0000 0.0000 0.5000
Cs 0.0000 0.0000 0.0000
CELL_PARAMETERS angstrom
-3.5633 0.9337 -5.3109
-5.3657 -1.2462 3.3810
-0.5597 6.5560 1.5281
! Formation energy (no corrections) ... 1.928 eV per atom
! ΔE to the lowest computed polymorph ... 1.983 eV/atom
! Total magnetization ... 2.6 μB per cell
! DFT total energy ... -2.400 eV/atom
! N(E_F) ... 7.27 states/eV/f.u.

(3)
! CsZnTe2I | the Alexandria database | PBE | optimized geometry; values from VASP
&SYSTEM
  ibrav = 0, nat = 5, ntyp = 4
/
ATOMIC_SPECIES
I 126.90 I.upf
Zn 65.41 Zn.upf
Te 127.60 Te.upf
Cs 132.91 Cs.upf
ATOMIC_POSITIONS crystal
I 0.0000 0.0000 0.5000
Zn 0.5000 0.5000 0.5000
Te 0.5000 0.0000 0.0000
Te 0.0000 0.5000 0.0000
Cs 0.0000 0.0000 0.0000
CELL_PARAMETERS angstrom
-2.4550 -6.4674 -3.2918
-0.9253 -3.1678 6.9137
-6.8274 2.4787 0.2219
! Formation energy (no corrections) ... 0.587 eV per atom
! ΔE to the lowest computed polymorph ... 0.971 eV/atom
! Total magnetization ... 4.1 μB per cell
! DFT total energy ... -1.405 eV/atom
! N(E_F) ... 9.65 states/eV/f.u.

(4)
! CsZnTe2I | the Alexandria database | PBE | optimized geometry; values from VASP
&SYSTEM
  ibrav = 0, nat = 5, ntyp = 4
/
ATOMIC_SPECIES
Te 127.60 Te.upf
Zn 65.41 Zn.upf
Cs 132.91 Cs.upf
I 126.90 I.upf
ATOMIC_POSITIONS crystal
Te 0.0000 0.5000 0.0000
Te 0.5000 0.0000 0.0000
Zn 0.0000 0.0000 0.0000
Cs 0.5000 0.5000 0.5000
I 0.0000 0.0000 0.5000
CELL_PARAMETERS angstrom
5.3711 0.0000 0.0000
0.0000 5.3711 0.0000
0.0000 0.0000 6.6743
! Formation energy (no corrections) ... -0.384 eV per atom
! ΔE to the lowest computed polymorph ... 0.000 eV/atom
! Total magnetization ... 0.0 μB per cell
! DFT total energy ... -2.377 eV/atom
! N(E_F) ... 7.50 states/eV/f.u.